1.
The following is a PBE calculation of an optimized crystal structure of PrNdHo4Se8, from the Alexandria database.

The structure in POSCAR format:
```
PrNdHo4Se8
1.0
4.2295 2.4419 7.0005
-4.2295 2.4419 7.0005
0.0000 -4.8838 7.0005
Pr Nd Ho Se
1 1 4 8
direct
0.0000 0.0000 0.0000
0.6262 0.6262 0.6262
0.1300 0.6263 0.6263
0.2533 0.2533 0.2533
0.6263 0.1300 0.6263
0.6263 0.6263 0.1300
0.3768 0.3768 0.8605
0.3768 0.8605 0.3768
0.3849 0.3849 0.3849
0.4079 0.8727 0.8727
0.8605 0.3768 0.3768
0.8639 0.8639 0.8639
0.8727 0.4079 0.8727
0.8727 0.8727 0.4079
```

Summary:
raw formation energy	-1.71	eV per atom
raw total energy	-5.690	eV per atom
crystal system	trigonal

=====

2.
The following is a PBE calculation of an optimized crystal structure of PrAg8Te6, from the Alexandria database.

The structure in POSCAR format:
```
PrAg8Te6
1.0
3.9332 2.2708 7.5747
-3.9332 2.2708 7.5747
0.0000 -4.5416 7.5747
Pr Ag Te
1 8 6
direct
0.0000 0.0000 0.0000
0.1194 0.8371 0.6334
0.1629 0.3666 0.8806
0.3666 0.8806 0.1629
0.4333 0.4333 0.4333
0.5667 0.5667 0.5667
0.6334 0.1194 0.8371
0.8371 0.6334 0.1194
0.8806 0.1629 0.3666
0.0415 0.7369 0.4377
0.2631 0.5623 0.9585
0.4377 0.0415 0.7369
0.5623 0.9585 0.2631
0.7369 0.4377 0.0415
0.9585 0.2631 0.5623
```

Summary:
raw formation energy	-0.28	eV per atom
raw total energy	-3.380	eV per atom
crystal system	trigonal

=====

3.
The following is a PBE calculation of an optimized crystal structure of TaFeIN2, from the Alexandria database.

The structure in POSCAR format:
```
TaFeIN2
1.0
4.0156 0.0000 0.0000
0.0000 4.0156 0.0000
0.0000 0.0000 5.8418
Ta Fe I N
1 1 1 2
direct
0.0000 0.0000 0.0000
0.5000 0.5000 0.5000
0.0000 0.0000 0.5000
0.0000 0.5000 0.0000
0.5000 0.0000 0.0000
```

Summary:
raw formation energy	0.68	eV per atom
raw total energy	-7.023	eV per atom
crystal system	tetragonal

=====

4.
The following is a PBE calculation of an optimized crystal structure of PuTiSi, from the Alexandria database.

The structure in POSCAR format:
```
PuTiSi
1.0
4.4166 0.0000 0.0000
-2.2083 3.8249 0.0000
0.0000 0.0000 3.5436
Pu Ti Si
1 1 1
direct
0.0000 0.0000 0.0000
0.3333 0.6667 0.5000
0.6667 0.3333 0.5000
```

Summary:
raw formation energy	-0.20	eV per atom
raw total energy	-9.419	eV per atom
crystal system	hexagonal

=====

5.
The following is a PBE calculation of an optimized crystal structure of HfBi, from the Alexandria database.

The structure in POSCAR format:
```
HfBi
1.0
1.9076 -5.4476 0.0000
1.9076 5.4476 0.0000
0.0000 0.0000 14.4085
Hf Bi
6 6
direct
0.0716 0.9284 0.6112
0.0716 0.9284 0.8888
0.4052 0.5948 0.7500
0.5948 0.4052 0.2500
0.9284 0.0716 0.1112
0.9284 0.0716 0.3888
0.3115 0.6885 0.2500
0.3586 0.6414 0.5500
0.3586 0.6414 0.9500
0.6414 0.3586 0.0500
0.6414 0.3586 0.4500
0.6885 0.3115 0.7500
```

Summary:
formation energy from the elements	-0.1798	eV per atom
raw total energy	-7.097	eV per atom
crystal system	orthorhombic

=====

6.
The following is a PBE calculation of an optimized crystal structure of AlGe2Pb, from the Alexandria database.

The structure in POSCAR format:
```
AlGe2Pb
1.0
2.0263 1.1699 6.5014
-2.0263 1.1699 6.5014
0.0000 -2.3398 6.5014
Al Ge Pb
1 2 1
direct
0.0000 0.0000 0.0000
0.2698 0.2698 0.2698
0.7302 0.7302 0.7302
0.5000 0.5000 0.5000
```

Summary:
formation energy from the elements	0.1940	eV per atom
raw total energy	-3.977	eV per atom
crystal system	trigonal

=====

7.
The following is a PBE calculation of an optimized crystal structure of MnNb2Fe3, from the Alexandria database.

The structure in POSCAR format:
```
MnNb2Fe3
1.0
5.7152 -3.4804 0.0000
5.7152 3.4804 0.0000
0.0000 0.0000 4.2954
Mn Nb Fe
2 4 6
direct
0.0747 0.9253 0.7500
0.9253 0.0747 0.2500
0.1885 0.5409 0.2500
0.4591 0.8115 0.2500
0.5409 0.1885 0.7500
0.8115 0.4591 0.7500
0.1871 0.1871 0.0000
0.1871 0.1871 0.5000
0.3882 0.6118 0.7500
0.6118 0.3882 0.2500
0.8129 0.8129 0.0000
0.8129 0.8129 0.5000
```

Summary:
formation energy from the elements	0.3736	eV per atom
raw total energy	-8.743	eV per atom
crystal system	orthorhombic

=====

8.
The following is a PBE calculation of an optimized crystal structure of Li3Hg, from the Alexandria database.

The structure in POSCAR format:
```
Li3Hg
1.0
3.1932 0.0000 0.0000
-1.5966 2.7654 0.0000
0.0000 0.0000 9.5483
Li Hg
3 1
direct
0.0000 0.0000 0.0000
0.6667 0.3333 0.2639
0.6667 0.3333 0.7361
0.0000 0.0000 0.5000
```

Summary:
formation energy from the elements	-0.1089	eV per atom
raw total energy	-1.620	eV per atom
crystal system	hexagonal

=====

Which formula does entry 4 have? PuTiSi

=====

Which formula does entry 1 have? PrNdHo4Se8